Entry A
Compound: Nd3Ge2H
Source: Alexandria via LeMat-Bulk
Functional: GGA-PBE
Structure: relaxed

magnetization = 0.000 μB per cell
symmetry = Pnma

Lattice parameters (Å, degrees): 8.306 4.258 16.634 90.00 90.00 90.00
Fractional coordinates of all 24 atoms:
Nd1 0.004 0.250 0.104
Nd2 0.133 0.750 0.431
Nd3 0.160 0.250 0.721
Nd4 0.340 0.750 0.221
Nd5 0.367 0.250 0.931
Nd6 0.496 0.750 0.604
Nd7 0.504 0.250 0.396
Nd8 0.633 0.750 0.069
Nd9 0.660 0.250 0.779
Nd10 0.840 0.750 0.279
Nd11 0.867 0.250 0.569
Nd12 0.996 0.750 0.896
Ge1 0.119 0.250 0.289
Ge2 0.240 0.750 0.040
Ge3 0.260 0.250 0.540
Ge4 0.381 0.750 0.789
Ge5 0.619 0.250 0.211
Ge6 0.740 0.750 0.460
Ge7 0.760 0.250 0.960
Ge8 0.881 0.750 0.711
H1 0.114 0.250 0.864
H2 0.386 0.750 0.364
H3 0.614 0.250 0.636
H4 0.886 0.750 0.136

=====

Entry B
Compound: Nd3Ge2H
Source: Alexandria via LeMat-Bulk
Functional: GGA-PBE
Structure: relaxed

magnetization = 0.000 μB per cell
symmetry = C2/c

Lattice parameters (Å, degrees): 7.249 7.249 8.343 106.73 106.73 48.76
Fractional coordinates of all 12 atoms:
Nd1 0.029 0.971 0.750
Nd2 0.334 0.336 0.418
Nd3 0.336 0.334 0.918
Nd4 0.664 0.666 0.082
Nd5 0.666 0.664 0.582
Nd6 0.971 0.029 0.250
Ge1 0.163 0.168 0.083
Ge2 0.168 0.163 0.583
Ge3 0.832 0.837 0.417
Ge4 0.837 0.832 0.917
H1 0.455 0.545 0.750
H2 0.545 0.455 0.250

=====

Which of them is most stable, and which least? Most stable: entry A; least stable: entry B.

=====

Entry A
Compound: Ni3GeH
Source: Alexandria via LeMat-Bulk
Functional: GGA-PBE
Structure: relaxed

magnetization = 0.000 μB per cell
symmetry = C2/m

Lattice parameters (Å, degrees): 7.098 7.098 6.110 96.55 96.55 21.27
Fractional coordinates of all 10 atoms:
Ni1 0.049 0.049 0.186
Ni2 0.175 0.175 0.497
Ni3 0.294 0.294 0.852
Ni4 0.706 0.706 0.148
Ni5 0.825 0.825 0.503
Ni6 0.951 0.951 0.814
Ge1 0.120 0.120 0.844
Ge2 0.880 0.880 0.156
H1 0.396 0.396 0.643
H2 0.604 0.604 0.357

=====

Entry B
Compound: Ni3GeH
Source: Alexandria via LeMat-Bulk
Functional: GGA-PBE
Structure: relaxed

magnetization = 0.002 μB per cell
symmetry = Pm-3m

Lattice parameters (Å, degrees): 4.363 4.363 4.363 90.00 90.00 90.00
Fractional coordinates of all 5 atoms:
Ni1 0.000 0.000 0.500
Ni2 0.000 0.500 0.000
Ni3 0.500 0.000 0.000
Ge1 0.000 0.000 0.000
H1 0.500 0.500 0.500

=====

Which of them is most stable, and which least? Most stable: entry A; least stable: entry B.